Computed, not measured: TaAl2Te after structural relaxation at the PBE level of DFT.

For the size of the total moment, the calculation gives 0.0 μB/f.u. The total energy is -5.438 eV per atom. For the energy relative to the elements, uncorrected, the calculation gives 0.182 eV/atom.

Geometry as CIF:
```
data_TaAl2Te
_space_group_name_H-M_alt 'R -3 m'
_space_group_IT_number 166
_space_group_name_Hall '-R 3 2"'
_cell_length_a 3.1438
_cell_length_b 3.1438
_cell_length_c 27.9119
_cell_angle_alpha 90.00
_cell_angle_beta 90.00
_cell_angle_gamma 120.00
loop_
_atom_site_label
_atom_site_fract_x
_atom_site_fract_y
_atom_site_fract_z
_atom_site_occupancy
Ta1 0.0000 0.0000 0.0000 1
Al1 0.0000 0.0000 0.2578 1
Te1 0.0000 0.0000 0.5000 1
```

---

Computed, not measured: Ta2AlTe after structural relaxation at the PBE level of DFT.

For the size of the total moment, the calculation gives 0.0 μB/f.u. The total energy is -7.526 eV per atom. Its excess energy over the best structure of this formula in the dataset is 0.169 eV/atom. For the energy relative to the elements, uncorrected, the calculation gives 0.122 eV/atom.

Geometry as CIF:
```
data_Ta2AlTe
_space_group_name_H-M_alt 'R 3 m'
_space_group_IT_number 160
_space_group_name_Hall 'R 3 -2"'
_cell_length_a 3.2836
_cell_length_b 3.2836
_cell_length_c 26.6432
_cell_angle_alpha 90.00
_cell_angle_beta 90.00
_cell_angle_gamma 120.00
loop_
_atom_site_label
_atom_site_fract_x
_atom_site_fract_y
_atom_site_fract_z
_atom_site_occupancy
Ta1 0.0000 0.0000 0.0000 1
Ta2 0.0000 0.0000 0.2560 1
Al1 0.0000 0.0000 0.5113 1
Te1 0.0000 0.0000 0.7456 1
```

---

Computed, not measured: Ta2AlTe after structural relaxation at the PBE level of DFT.

For the size of the total moment, the calculation gives 0.0 μB/f.u. The total energy is -7.534 eV per atom. Its excess energy over the best structure of this formula in the dataset is 0.160 eV/atom. For the energy relative to the elements, uncorrected, the calculation gives 0.114 eV/atom.

Geometry as CIF:
```
data_Ta2AlTe
_space_group_name_H-M_alt 'C 1 m 1'
_space_group_IT_number 8
_space_group_name_Hall 'C -2y'
_cell_length_a 9.793
_cell_length_b 3.231
_cell_length_c 4.889
_cell_angle_alpha 90.00
_cell_angle_beta 104.34
_cell_angle_gamma 90.00
loop_
_atom_site_label
_atom_site_fract_x
_atom_site_fract_y
_atom_site_fract_z
_atom_site_occupancy
Ta1 0.000 0.000 0.000 1
Ta2 0.231 0.000 0.660 1
Al1 0.493 0.000 0.506 1
Te1 0.242 0.500 0.171 1
```

---

Computed, not measured: Ta2AlTe after structural relaxation at the PBE level of DFT.

For the size of the total moment, the calculation gives 0.0 μB/f.u. The total energy is -7.294 eV per atom. Its excess energy over the best structure of this formula in the dataset is 0.400 eV/atom. For the energy relative to the elements, uncorrected, the calculation gives 0.353 eV/atom.

Geometry as CIF:
```
data_Ta2AlTe
_space_group_name_H-M_alt 'C m m m'
_space_group_IT_number 65
_space_group_name_Hall '-C 2 2'
_cell_length_a 3.421
_cell_length_b 5.026
_cell_length_c 8.908
_cell_angle_alpha 90.00
_cell_angle_beta 90.00
_cell_angle_gamma 90.00
loop_
_atom_site_label
_atom_site_fract_x
_atom_site_fract_y
_atom_site_fract_z
_atom_site_occupancy
Ta1 0.000 0.000 0.245 1
Al1 0.000 0.500 0.000 1
Te1 0.000 0.500 0.500 1
```

---

Computed, not measured: TaAl2Te after structural relaxation at the PBE level of DFT.

For the size of the total moment, the calculation gives 0.0 μB/f.u. The total energy is -5.322 eV per atom. For the energy relative to the elements, uncorrected, the calculation gives 0.298 eV/atom.

Geometry as CIF:
```
data_TaAl2Te
_space_group_name_H-M_alt 'P m m m'
_space_group_IT_number 47
_space_group_name_Hall '-P 2 2'
_cell_length_a 3.329
_cell_length_b 4.752
_cell_length_c 4.833
_cell_angle_alpha 90.00
_cell_angle_beta 90.00
_cell_angle_gamma 90.00
loop_
_atom_site_label
_atom_site_fract_x
_atom_site_fract_y
_atom_site_fract_z
_atom_site_occupancy
Ta1 0.000 0.000 0.000 1
Al1 0.000 0.500 0.500 1
Al2 0.500 0.000 0.500 1
Te1 0.500 0.500 0.000 1
```

---

Computed, not measured: TaAlTe6 after structural relaxation at the PBE level of DFT.

For the size of the total moment, the calculation gives 0.0 μB/f.u. The total energy is -4.402 eV per atom. For the energy relative to the elements, uncorrected, the calculation gives -0.097 eV/atom.

Geometry as CIF:
```
data_TaAlTe6
_space_group_name_H-M_alt 'P -1'
_space_group_IT_number 2
_space_group_name_Hall '-P 1'
_cell_length_a 6.862
_cell_length_b 6.903
_cell_length_c 6.958
_cell_angle_alpha 60.63
_cell_angle_beta 61.16
_cell_angle_gamma 82.85
loop_
_atom_site_label
_atom_site_fract_x
_atom_site_fract_y
_atom_site_fract_z
_atom_site_occupancy
Ta1 0.000 0.000 0.000 1
Al1 0.500 0.500 0.000 1
Te1 0.187 0.416 0.877 1
Te2 0.273 0.775 0.192 1
Te3 0.302 0.098 0.508 1
```

---

Computed, not measured: Ta2AlTe after structural relaxation at the PBE level of DFT.

For the size of the total moment, the calculation gives 0.0 μB/f.u. The total energy is -7.442 eV per atom. Its excess energy over the best structure of this formula in the dataset is 0.252 eV/atom. For the energy relative to the elements, uncorrected, the calculation gives 0.205 eV/atom.

Geometry as CIF:
```
data_Ta2AlTe
_space_group_name_H-M_alt 'I m m m'
_space_group_IT_number 71
_space_group_name_Hall '-I 2 2'
_cell_length_a 3.442
_cell_length_b 4.876
_cell_length_c 8.900
_cell_angle_alpha 90.00
_cell_angle_beta 90.00
_cell_angle_gamma 90.00
loop_
_atom_site_label
_atom_site_fract_x
_atom_site_fract_y
_atom_site_fract_z
_atom_site_occupancy
Ta1 0.000 0.000 0.245 1
Al1 0.000 0.500 0.500 1
Te1 0.000 0.500 0.000 1
```

---

Computed, not measured: Th2TaAl3 after structural relaxation at the PBE level of DFT.

For the size of the total moment, the calculation gives 0.0 μB/f.u. The total energy is -6.628 eV per atom. The calculation puts the energy relative to the elements at -0.31 eV per atom.

Geometry as CIF:
```
data_Th2TaAl3
_space_group_name_H-M_alt 'R -3 m'
_space_group_IT_number 166
_space_group_name_Hall '-R 3 2"'
_cell_length_a 5.6832
_cell_length_b 5.6832
_cell_length_c 14.1132
_cell_angle_alpha 90.00
_cell_angle_beta 90.00
_cell_angle_gamma 120.00
loop_
_atom_site_label
_atom_site_fract_x
_atom_site_fract_y
_atom_site_fract_z
_atom_site_occupancy
Th1 0.0000 0.0000 0.1326 1
Ta1 0.0000 0.0000 0.5000 1
Al1 0.0000 0.5000 0.0000 1
```

---

Computed, not measured: ThTaAl2 after structural relaxation at the PBE level of DFT.

For the size of the total moment, the calculation gives 0.0 μB/f.u. The total energy is -6.446 eV per atom. The calculation puts the energy relative to the elements at 0.24 eV per atom.

Geometry as CIF:
```
data_ThTaAl2
_space_group_name_H-M_alt 'R -3 m'
_space_group_IT_number 166
_space_group_name_Hall '-R 3 2"'
_cell_length_a 3.7999
_cell_length_b 3.7999
_cell_length_c 22.2073
_cell_angle_alpha 90.00
_cell_angle_beta 90.00
_cell_angle_gamma 120.00
loop_
_atom_site_label
_atom_site_fract_x
_atom_site_fract_y
_atom_site_fract_z
_atom_site_occupancy
Th1 0.0000 0.0000 0.0000 1
Ta1 0.0000 0.0000 0.5000 1
Al1 0.0000 0.0000 0.2355 1
```

---

Computed, not measured: Ta6Ti2Al after structural relaxation at the PBE level of DFT.

For the size of the total moment, the calculation gives 0.0 μB/f.u. The total energy is -10.013 eV per atom. The calculation puts the energy relative to the elements at 0.06 eV per atom.

Geometry as CIF:
```
data_Ta6Ti2Al
_space_group_name_H-M_alt 'C 1 2/m 1'
_space_group_IT_number 12
_space_group_name_Hall '-C 2y'
_cell_length_a 7.559
_cell_length_b 14.651
_cell_length_c 2.995
_cell_angle_alpha 90.00
_cell_angle_beta 100.84
_cell_angle_gamma 90.00
loop_
_atom_site_label
_atom_site_fract_x
_atom_site_fract_y
_atom_site_fract_z
_atom_site_occupancy
Ta1 0.166 0.167 0.324 1
Ta2 0.170 0.000 0.835 1
Ti1 0.000 0.334 0.000 1
Al1 0.000 0.500 0.500 1
```

---

What is the total energy in the second record?
-7.526 eV per atom

---

Which of these has the highest total energy?
TaAlTe6

---

What is the size of the total moment in the first record?
0.0 μB/f.u.